(1)
First-principles (PBE-GGA) data for a relaxed YBe3Ir crystal, as listed in Alexandria.

Computed properties:
Energy of formation from the pure elements ... 2368 meV/atom
Magnetic moment ... 1.693 μB per formula unit
Mass density ... 5.96 Mg/m³

Geometry as POSCAR:
```
YBe3Ir
1.0
-0.4513 -1.3142 4.1880
0.5832 -4.1907 -1.2522
4.3504 0.4254 0.6023
Be Ir Y
3 1 1
Direct
0.5000 0.0000 0.0000 Be
0.0000 0.5000 0.0000 Be
0.0000 0.0000 0.5000 Be
0.5000 0.5000 0.5000 Ir
0.0000 0.0000 0.0000 Y
```

---

(2)
First-principles (PBE-GGA) data for a relaxed CePaRePd crystal, as listed in Alexandria.

Computed properties:
Energy of formation from the pure elements ... -163 meV/atom
Magnetic moment ... 0.010 μB per formula unit
Mass density ... 12.97 Mg/m³

Geometry as POSCAR:
```
CePaRePd
1.0
-0.9487 4.5852 1.5598
-2.1278 3.2510 -3.0431
-4.6598 1.4266 0.7802
Pa Re Pd Ce
1 1 1 1
Direct
0.0000 0.0000 0.0000 Pa
0.2500 0.2500 0.2500 Re
0.7500 0.7500 0.7500 Pd
0.5000 0.5000 0.5000 Ce
```

---

(3)
First-principles (PBE-GGA) data for a relaxed NdAl3Cu2 crystal, as listed in Alexandria.

Computed properties:
Energy of formation from the pure elements ... -349 meV/atom
Magnetic moment ... 0.000 μB per formula unit
Mass density ... 5.38 Mg/m³

Geometry as POSCAR:
```
NdAl3Cu2
1.0
4.0942 0.0000 0.0000
-2.0471 7.7708 0.1091
0.0000 -3.4105 6.7891
Al Cu Nd
6 4 2
Direct
0.3933 0.7866 0.2940 Al
0.3178 0.6356 0.5575 Al
0.0348 0.0696 0.3604 Al
0.9652 0.9304 0.6396 Al
0.6067 0.2134 0.7060 Al
0.6822 0.3644 0.4425 Al
0.5166 0.0333 0.1709 Cu
0.8113 0.6226 0.3352 Cu
0.1887 0.3774 0.6648 Cu
0.4834 0.9667 0.8291 Cu
0.1509 0.3018 0.0761 Nd
0.8491 0.6982 0.9239 Nd
```

---

(4)
First-principles (PBE-GGA) data for a relaxed Sc2TaBi2 crystal, as listed in Alexandria.

Computed properties:
Energy of formation from the pure elements ... 498 meV/atom
Magnetic moment ... 0.001 μB per formula unit
Mass density ... 9.36 Mg/m³

Geometry as POSCAR:
```
Sc2TaBi2
1.0
-1.8761 -3.1703 -1.4746
3.4817 -1.8477 -0.4574
0.1744 -5.4637 6.1862
Ta Sc Bi
1 2 2
Direct
0.0000 0.0000 0.0000 Ta
0.7500 0.2500 0.5000 Sc
0.2500 0.7500 0.5000 Sc
0.4007 0.4007 0.1986 Bi
0.5993 0.5993 0.8014 Bi
```